VASP calculation (SCAN) on a PBEsol-optimized structure of RbTl3.

Lattice parameters (Å, degrees): 7.9064 7.9064 7.9064 90.00 90.00 90.00
Space group Fm-3m (No. 225)
Unique sites:
Rb 0.0000 0.0000 0.0000 x4
Tl 0.0000 0.0000 0.5000 x4
Tl 0.2500 0.2500 0.2500 x8

Results
E	-952.39	eV for the cell shown
theoretical density	9389	kg/m3
E_form	-0.071	eV per atom

VASP calculation (SCAN) on a PBEsol-optimized structure of K5Re.

Lattice parameters (Å, degrees): 5.7982 17.0146 5.8164 90.00 90.00 90.00
Space group Cmmm (No. 65)
Unique sites:
K 0.0000 0.0000 0.0000 x2
K 0.0000 0.1450 0.5000 x4
K 0.0000 0.3563 0.0000 x4
Re 0.0000 0.5000 0.5000 x2

Results
E	-213.06	eV for the cell shown
theoretical density	2209	kg/m3
E_form	1.035	eV per atom

VASP calculation (SCAN) on a PBEsol-optimized structure of CrGa3Pd.

Lattice parameters (Å, degrees): 4.5465 4.5465 4.5465 90.00 90.00 90.00
Space group Pm-3m (No. 221)
Unique sites:
Cr 0.0000 0.0000 0.0000 x1
Ga 0.0000 0.0000 0.5000 x3
Pd 0.5000 0.5000 0.5000 x1

Results
E	-97.76	eV for the cell shown
theoretical density	6495	kg/m3
E_form	0.487	eV per atom

VASP calculation (SCAN) on a PBEsol-optimized structure of K2RhBr.

Lattice parameters (Å, degrees): 11.9842 3.4976 5.4955 90.00 102.08 90.00
Space group Cm (No. 8)
Unique sites:
K 0.0000 0.0000 0.0000 x2
K 0.2297 0.5000 0.5676 x2
Rh 0.4490 0.0000 0.4553 x2
Br 0.2810 0.0000 0.1028 x2

Results
E	-141.44	eV for the cell shown
theoretical density	3848	kg/m3
E_form (uncorrected)	-0.21	eV per atom

VASP calculation (SCAN) on a PBEsol-optimized structure of CaAuSe.

Lattice parameters (Å, degrees): 4.4506 4.4506 3.9272 90.00 90.00 120.00
Space group P3m1 (No. 156)
Unique sites:
Ca 0.0000 0.0000 0.0000 x1
Au 0.3333 0.6667 0.5658 x1
Se 0.6667 0.3333 0.4338 x1

Results
E	-101.81	eV for the cell shown
theoretical density	7789	kg/m3
E_form (uncorrected)	-0.97	eV per atom

VASP calculation (SCAN) on a PBEsol-optimized structure of Sr3GeAs.

Lattice parameters (Å, degrees): 5.7657 5.7657 5.7657 90.00 90.00 90.00
Space group Pm-3m (No. 221)
Unique sites:
Sr 0.0000 0.0000 0.5000 x3
Ge 0.0000 0.0000 0.0000 x1
As 0.5000 0.5000 0.5000 x1

Results
E	-107.86	eV for the cell shown
theoretical density	3556	kg/m3
E_form	-0.351	eV per atom

VASP calculation (SCAN) on a PBEsol-optimized structure of RbIBrN2.

Lattice parameters (Å, degrees): 4.6197 4.6197 8.3090 90.00 90.00 90.00
Space group P4/mmm (No. 123)
Unique sites:
Rb 0.0000 0.0000 0.0000 x1
I 0.5000 0.5000 0.0000 x1
Br 0.5000 0.5000 0.5000 x1
N 0.0000 0.5000 0.5000 x2

Results
E	-88.85	eV for the cell shown
theoretical density	2999	kg/m3
E_form (uncorrected)	1.33	eV per atom

VASP calculation (SCAN) on a PBEsol-optimized structure of Tl2HgS.

Lattice parameters (Å, degrees): 7.9672 7.9672 6.6481 90.00 90.00 90.00
Space group I-42d (No. 122)
Unique sites:
Tl 0.2221 0.2500 0.1250 x8
Hg 0.0000 0.0000 0.5000 x4
S 0.0000 0.0000 0.0000 x4

Results
E	-892.95	eV for the cell shown
theoretical density	10096	kg/m3
E_form (uncorrected)	-0.18	eV per atom

VASP calculation (SCAN) on a PBEsol-optimized structure of TcHgMo2.

Lattice parameters (Å, degrees): 3.9672 3.9672 7.9973 90.00 90.00 90.00
Space group I-4m2 (No. 119)
Unique sites:
Tc 0.0000 0.0000 0.0000 x2
Hg 0.0000 0.5000 0.2500 x2
Mo 0.0000 0.0000 0.5000 x2
Mo 0.0000 0.5000 0.7500 x2

Results
E	-342.47	eV for the cell shown
theoretical density	12941	kg/m3
E_form	0.441	eV per atom

VASP calculation (SCAN) on a PBEsol-optimized structure of CdTePt.

Lattice parameters (Å, degrees): 3.2014 3.2014 12.1294 90.00 90.00 90.00
Space group I4mm (No. 107)
Unique sites:
Cd 0.0000 0.0000 0.0000 x2
Te 0.0000 0.0000 0.7121 x2
Pt 0.0000 0.0000 0.3591 x2

Results
E	-275.45	eV for the cell shown
theoretical density	11624	kg/m3
E_form (uncorrected)	0.04	eV per atom

VASP calculation (SCAN) on a PBEsol-optimized structure of BePPb2.

Lattice parameters (Å, degrees): 3.5972 3.5972 23.4383 90.00 90.00 120.00
Space group R3m (No. 160, hexagonal axes)
Unique sites:
Be 0.0000 0.0000 0.0000 x3
P 0.0000 0.0000 0.3278 x3
Pb 0.0000 0.0000 0.5564 x3
Pb 0.0000 0.0000 0.7687 x3

Results
E	-499.06	eV for the cell shown
theoretical density	8618	kg/m3
E_form	-0.010	eV per atom

VASP calculation (SCAN) on a PBEsol-optimized structure of KLiFe2.

Lattice parameters (Å, degrees): 2.6115 2.6115 9.5306 90.00 90.00 90.00
Space group P4/mmm (No. 123)
Unique sites:
K 0.0000 0.0000 0.0000 x1
Li 0.0000 0.0000 0.5000 x1
Fe 0.5000 0.5000 0.3008 x2

Results
E	-43.26	eV for the cell shown
theoretical density	4030	kg/m3
E_form	0.930	eV per atom